A relaxed Ba2Mn4Rh crystal. Source: Alexandria via LeMat-Bulk, functional PBE.

POSCAR file:
```
Ba2Mn4Rh
1.0
-1.530 -3.027 -3.654
3.037 -3.574 1.689
-5.419 -6.192 3.997
Ba Mn Rh
2 4 1
direct
0.355 0.355 0.291
0.645 0.645 0.709
0.856 0.856 0.288
0.000 0.500 0.000
0.144 0.144 0.712
0.500 0.000 0.000
0.000 0.000 0.000
```

Calculated values
Its density of states at the Fermi level is 0.750 states/eV per atom. Its density is 4.73 g/cm3. The space-group type is I4/mmm, No. 139. The total energy is -0.4592 Ry/atom. The calculation puts the total magnetization at 16.9 μB/cell.

---

A relaxed FeTeOs2 crystal. Source: Alexandria via LeMat-Bulk, functional PBE.

POSCAR file:
```
FeTeOs2
1.0
4.460 0.000 0.000
2.230 3.863 0.000
2.230 1.288 3.642
Te Os Fe
1 2 1
direct
0.250 0.250 0.250
0.000 0.000 0.000
0.750 0.750 0.750
0.500 0.500 0.500
```

Calculated values
Its density of states at the Fermi level is 0.737 states/eV per atom. Its density is 14.92 g/cm3. The uncorrected formation energy is 0.799 eV/atom. The space-group type is F-43m, No. 216. The total energy is -0.5672 Ry/atom. The calculation puts the total magnetization at 2.5 μB/cell.